[1]
CeThB12: relaxed, GGA-PBE.

abc: 4.1131 4.1131 8.2313
angles: 90.00 90.00 90.00
Space group P4/mmm (No. 123)
Symmetry-distinct sites (fractional):
Ce (0.0000, 0.0000, 0.0000) x1
Th (0.0000, 0.0000, 0.5000) x1
B (0.1980, 0.5000, 0.2500) x8
B (0.5000, 0.5000, 0.0992) x2
B (0.5000, 0.5000, 0.4011) x2

Formation energy ... -504.4 meV/atom
DOS(E_F) ... 0.440 states/eV/atom

[2]
CeThB: relaxed, GGA-PBE.

abc: 11.8770 3.7893 7.9907
angles: 90.00 131.25 90.00
Space group C2/m (No. 12)
Symmetry-distinct sites (fractional):
Ce (0.1907, 0.0000, 0.0924) x4
Th (0.0773, 0.5000, 0.3682) x4
B (0.0881, 0.0000, 0.6335) x4

Formation energy ... -72.9 meV/atom
DOS(E_F) ... 1.458 states/eV/atom

[3]
CeThB4: relaxed, GGA-PBE.

abc: 6.2015 11.9734 4.2474
angles: 90.00 90.00 90.00
Space group Pbam (No. 55)
Symmetry-distinct sites (fractional):
Ce (0.1304, 0.0844, 0.0000) x4
Th (0.1226, 0.3482, 0.0000) x4
B (0.0322, 0.8053, 0.5000) x4
B (0.1219, 0.9495, 0.5000) x4
B (0.1298, 0.5287, 0.5000) x4
B (0.2093, 0.6883, 0.5000) x4

Formation energy ... -266.0 meV/atom
DOS(E_F) ... 0.504 states/eV/atom

[4]
CeThB8: relaxed, GGA-PBE.

abc: 10.1591 10.2497 4.0967
angles: 90.00 90.00 90.00
Space group Cmmm (No. 65)
Symmetry-distinct sites (fractional):
Ce (0.0000, 0.1859, 0.0000) x4
Th (0.1865, 0.5000, 0.0000) x4
B (0.0000, 0.4113, 0.5000) x4
B (0.0886, 0.0000, 0.5000) x4
B (0.1421, 0.3172, 0.5000) x8
B (0.1804, 0.1435, 0.5000) x8
B (0.2500, 0.2500, 0.2017) x8

Formation energy ... -629.8 meV/atom
DOS(E_F) ... 0.436 states/eV/atom

[5]
CeTlB: relaxed, GGA-PBE.

abc: 9.0962 4.2263 7.1477
angles: 90.00 102.32 90.00
Space group C2/m (No. 12)
Symmetry-distinct sites (fractional):
Ce (0.1086, 0.0000, 0.3378) x4
Tl (0.1385, 0.5000, 0.9182) x4
B (0.0882, 0.5000, 0.5600) x4

Formation energy ... -0.7 meV/atom
DOS(E_F) ... 1.442 states/eV/atom

[6]
CeTmB4: relaxed, GGA-PBE.

abc: 6.7371 6.7371 6.7371
angles: 90.00 90.00 90.00
Space group F-43m (No. 216)
Symmetry-distinct sites (fractional):
Ce (0.0000, 0.0000, 0.0000) x4
Tm (0.2500, 0.2500, 0.2500) x4
B (0.1572, 0.1572, 0.6572) x16

Formation energy ... 271.7 meV/atom
DOS(E_F) ... 0.492 states/eV/atom

[7]
CeTmB12: relaxed, GGA-PBE.

abc: 4.0995 4.0995 8.2017
angles: 90.00 90.00 90.00
Space group P4/mmm (No. 123)
Symmetry-distinct sites (fractional):
Ce (0.0000, 0.0000, 0.0000) x1
Tm (0.0000, 0.0000, 0.5000) x1
B (0.1985, 0.5000, 0.2521) x8
B (0.5000, 0.5000, 0.1001) x2
B (0.5000, 0.5000, 0.4016) x2

Formation energy ... -430.8 meV/atom
DOS(E_F) ... 0.393 states/eV/atom

[8]
CeUB8: relaxed, GGA-PBE.

abc: 9.9978 10.1139 4.0127
angles: 90.00 90.00 90.00
Space group Cmmm (No. 65)
Symmetry-distinct sites (fractional):
Ce (0.1883, 0.0000, 0.0000) x4
U (0.0000, 0.3111, 0.0000) x4
B (0.0000, 0.0880, 0.5000) x4
B (0.0872, 0.5000, 0.5000) x4
B (0.1404, 0.1824, 0.5000) x8
B (0.1786, 0.3569, 0.5000) x8
B (0.2500, 0.2500, 0.2008) x8

Formation energy ... -558.5 meV/atom
DOS(E_F) ... 0.708 states/eV/atom

[9]
CeUB12: relaxed, GGA-PBE.

abc: 4.0912 4.0912 8.1809
angles: 90.00 90.00 90.00
Space group P4/mmm (No. 123)
Symmetry-distinct sites (fractional):
Ce (0.0000, 0.0000, 0.0000) x1
U (0.0000, 0.0000, 0.5000) x1
B (0.1978, 0.5000, 0.2515) x8
B (0.5000, 0.5000, 0.0997) x2
B (0.5000, 0.5000, 0.4018) x2

Formation energy ... -400.6 meV/atom
DOS(E_F) ... 0.657 states/eV/atom

[10]
CeVB2: relaxed, GGA-PBE.

abc: 3.2140 3.2140 18.2867
angles: 90.00 90.00 120.00
Space group R-3m (No. 166, hexagonal axes)
Symmetry-distinct sites (fractional):
Ce (0.0000, 0.0000, 0.0000) x3
V (0.0000, 0.0000, 0.5000) x3
B (0.0000, 0.0000, 0.2291) x6

Formation energy ... 76.6 meV/atom
DOS(E_F) ... 0.752 states/eV/atom

[11]
CeV2B: relaxed, GGA-PBE.

abc: 2.9604 2.9604 23.2937
angles: 90.00 90.00 120.00
Space group R-3m (No. 166, hexagonal axes)
Symmetry-distinct sites (fractional):
Ce (0.0000, 0.0000, 0.0000) x3
V (0.0000, 0.0000, 0.1160) x6
B (0.0000, 0.0000, 0.5000) x3

Formation energy ... 95.4 meV/atom
DOS(E_F) ... 1.371 states/eV/atom